No. 1
Below is a relaxed structure of Sm2CuPt6, with properties calculated at the PBE level.

Unit cell a=6.1901 b=6.1901 c=15.1867 alpha=90.00 beta=90.00 gamma=120.00
Space group R-3m (No. 166, hexagonal axes)
Unique sites:
Sm: 0.0000 0.0000 0.2502 (multiplicity 6)
Cu: 0.0000 0.0000 0.0000 (multiplicity 3)
Pt: 0.0333 0.5166 0.2414 (multiplicity 18)

Properties
- Uncorrected energy: -6.251 eV/atom


No. 2
Below is a relaxed structure of SmCuPt2, with properties calculated at the PBE level.

Unit cell a=5.5775 b=8.5698 c=7.8690 alpha=90.00 beta=90.00 gamma=90.00
Space group Pmma (No. 51)
Unique sites:
Sm: 0.2500 0.0000 0.1775 (multiplicity 2)
Sm: 0.2500 0.5000 0.3143 (multiplicity 2)
Cu: 0.2500 0.0000 0.7849 (multiplicity 2)
Cu: 0.2500 0.5000 0.7366 (multiplicity 2)
Pt: 0.0000 0.0000 0.5000 (multiplicity 2)
Pt: 0.0000 0.5000 0.0000 (multiplicity 2)
Pt: 0.2500 0.2645 0.5481 (multiplicity 4)

Properties
- Uncorrected energy: -5.399 eV/atom


No. 3
Below is a relaxed structure of SmCu4Pt6, with properties calculated at the PBE level.

Unit cell a=6.2463 b=6.2463 c=9.5531 alpha=90.00 beta=90.00 gamma=90.00
Space group I-42m (No. 121)
Unique sites:
Sm: 0.0000 0.0000 0.0000 (multiplicity 2)
Cu: 0.1479 0.1479 0.4115 (multiplicity 8)
Pt: 0.0000 0.5000 0.0000 (multiplicity 4)
Pt: 0.2267 0.2267 0.6845 (multiplicity 8)

Properties
- Uncorrected energy: -5.339 eV/atom


No. 4
Below is a relaxed structure of Sm5Cu2Pt12, with properties calculated at the PBE level.

Unit cell a=15.1847 b=7.2027 c=6.7537 alpha=90.00 beta=93.33 gamma=90.00
Space group C2/m (No. 12)
Unique sites:
Sm: 0.0000 0.0000 0.0000 (multiplicity 2)
Sm: 0.1852 0.5000 0.5490 (multiplicity 4)
Sm: 0.2435 0.0000 0.9312 (multiplicity 4)
Cu: 0.0000 0.2839 0.5000 (multiplicity 4)
Pt: 0.0536 0.5000 0.1952 (multiplicity 4)
Pt: 0.1010 0.2986 0.8535 (multiplicity 8)
Pt: 0.1206 0.0000 0.5942 (multiplicity 4)
Pt: 0.1450 0.1869 0.2533 (multiplicity 8)

Properties
- Uncorrected energy: -6.307 eV/atom


No. 5
Below is a relaxed structure of Sm2Cu2Pt, with properties calculated at the PBE level.

Unit cell a=7.2136 b=7.2136 c=7.8146 alpha=90.00 beta=90.00 gamma=90.00
Space group P4/mnc (No. 128)
Unique sites:
Sm: 0.1833 0.3165 0.0000 (multiplicity 8)
Cu: 0.1195 0.6195 0.2500 (multiplicity 8)
Pt: 0.0000 0.0000 0.2491 (multiplicity 4)

Properties
- Energy relative to the lowest polymorph listed for this composition: 83 meV/atom


No. 6
Below is a relaxed structure of Sm6Cu2Pt, with properties calculated at the PBE level.

Unit cell a=6.6742 b=7.3839 c=12.2696 alpha=90.00 beta=122.10 gamma=90.00
Space group P2_1/c (No. 14)
Unique sites:
Sm: 0.0757 0.1864 0.4255 (multiplicity 4)
Sm: 0.2481 0.6710 0.4289 (multiplicity 4)
Sm: 0.3999 0.0409 0.2428 (multiplicity 4)
Cu: 0.1780 0.1143 0.7426 (multiplicity 4)
Pt: 0.5000 0.0000 0.5000 (multiplicity 2)

Properties
- Energy relative to the lowest polymorph listed for this composition: 66 meV/atom


No. 7
Below is a relaxed structure of SmCu4Pt8, with properties calculated at the PBE level.

Unit cell a=8.9586 b=8.9586 c=5.0731 alpha=90.00 beta=90.00 gamma=90.00
Space group I4/mmm (No. 139)
Unique sites:
Sm: 0.0000 0.0000 0.0000 (multiplicity 2)
Cu: 0.2500 0.2500 0.2500 (multiplicity 8)
Pt: 0.0000 0.2205 0.5000 (multiplicity 8)
Pt: 0.0000 0.3462 0.0000 (multiplicity 8)

Properties
- Uncorrected energy: -5.687 eV/atom


No. 8
Below is a relaxed structure of Sm2CuPt, with properties calculated at the PBE level.

Unit cell a=5.0354 b=5.0354 c=3.5541 alpha=90.00 beta=90.00 gamma=90.00
Space group P4/mmm (No. 123)
Unique sites:
Sm: 0.0000 0.5000 0.0000 (multiplicity 2)
Cu: 0.0000 0.0000 0.5000 (multiplicity 1)
Pt: 0.5000 0.5000 0.5000 (multiplicity 1)

Properties
- Uncorrected energy: -5.555 eV/atom


No. 9
Below is a relaxed structure of Sm2Cu2Pt, with properties calculated at the PBE level.

Unit cell a=10.3728 b=4.1316 c=10.9925 alpha=90.00 beta=114.64 gamma=90.00
Space group C2/m (No. 12)
Unique sites:
Sm: 0.0249 0.0000 0.3458 (multiplicity 4)
Sm: 0.1953 0.0000 0.1185 (multiplicity 4)
Cu: 0.0217 0.5000 0.8932 (multiplicity 4)
Cu: 0.1340 0.5000 0.5564 (multiplicity 4)
Pt: 0.2191 0.5000 0.3231 (multiplicity 4)

Properties
- Energy relative to the lowest polymorph listed for this composition: 0 meV/atom


No. 10
Below is a relaxed structure of SmCu8Pt2, with properties calculated at the PBE level.

Unit cell a=6.2038 b=6.2038 c=4.8669 alpha=90.00 beta=90.00 gamma=90.00
Space group P4/mmm (No. 123)
Unique sites:
Sm: 0.0000 0.0000 0.0000 (multiplicity 1)
Cu: 0.3027 0.3027 0.2464 (multiplicity 8)
Pt: 0.0000 0.5000 0.5000 (multiplicity 2)

Properties
- Uncorrected energy: -4.322 eV/atom


No. 11
Below is a relaxed structure of Sm3Cu4Pt4, with properties calculated at the PBE level.

Unit cell a=7.5594 b=7.5594 c=7.5594 alpha=90.00 beta=90.00 gamma=90.00
Space group I-43m (No. 217)
Unique sites:
Sm: 0.0000 0.0000 0.5000 (multiplicity 6)
Cu: 0.1150 0.1150 0.8850 (multiplicity 8)
Pt: 0.2029 0.2029 0.2029 (multiplicity 8)

Properties
- Uncorrected energy: -5.505 eV/atom


No. 12
Below is a relaxed structure of Sm4Cu3Pt, with properties calculated at the PBE level.

Unit cell a=3.9038 b=4.4979 c=10.5904 alpha=90.00 beta=90.00 gamma=90.00
Space group Pmm2 (No. 25)
Unique sites:
Sm: 0.0000 0.0000 0.0000 (multiplicity 1)
Sm: 0.0000 0.5000 0.2766 (multiplicity 1)
Sm: 0.5000 0.0000 0.4969 (multiplicity 1)
Sm: 0.5000 0.5000 0.7773 (multiplicity 1)
Cu: 0.0000 0.0000 0.7053 (multiplicity 1)
Cu: 0.0000 0.5000 0.5689 (multiplicity 1)
Cu: 0.5000 0.5000 0.0620 (multiplicity 1)
Pt: 0.5000 0.0000 0.2149 (multiplicity 1)

Properties
- Uncorrected energy: -5.118 eV/atom


Q: Which formula does entry 10 have?
A: SmCu8Pt2